The following is a GGA-PBE calculation of a relaxed structure of BaLiPrS3, from Alexandria.

Structure (extended XYZ):
```
12
Lattice="8.801 0.000 0.000 0.000 4.191 0.000 -1.996 0.000 8.743" Properties=species:S:1:pos:R:3 pbc="T T T"
Ba 1.128 1.048 2.047
Ba 5.676 3.143 6.696
Li -0.435 1.048 5.154
Li 7.239 3.143 3.589
Pr 1.282 3.143 7.263
Pr 5.522 1.048 1.480
S -0.679 1.048 7.556
S 0.675 3.143 4.495
S 3.529 3.143 1.430
S 3.275 1.048 7.313
S 6.129 1.048 4.247
S 7.484 3.143 1.187
```

Results
Raw total energy   -5.3973 eV per atom
ΔE_f (raw)   -1898 meV per atom
Space group   No. 11


The following is a GGA-PBE calculation of a relaxed structure of BaLi2Pr2Sb2, from Alexandria.

Structure (extended XYZ):
```
7
Lattice="2.460 1.421 9.996 -2.460 1.421 9.996 0.000 -2.841 9.996" Properties=species:S:1:pos:R:3 pbc="T T T"
Ba 0.000 0.000 0.000
Li 0.000 0.000 12.550
Li 0.000 0.000 17.440
Pr 0.000 0.000 4.003
Pr 0.000 0.000 25.986
Sb 0.000 0.000 7.617
Sb 0.000 0.000 22.372
```

Results
Raw total energy   -4.0124 eV per atom
ΔE_f (raw)   -648 meV per atom
Space group   No. 166


The following is a GGA-PBE calculation of a relaxed structure of Ba3LiPr2Se6, from Alexandria.

Structure (extended XYZ):
```
12
Lattice="3.846 -6.663 0.000 3.846 6.663 0.000 -2.557 0.000 7.367" Properties=species:S:1:pos:R:3 pbc="T T T"
Ba 0.000 0.000 0.000
Ba 3.846 2.198 0.000
Ba 3.846 -2.198 0.000
Li 2.568 0.000 3.684
Pr 2.568 4.437 3.684
Pr 2.568 -4.437 3.684
Se 1.278 2.230 2.045
Se 0.000 0.000 5.305
Se 1.278 -2.230 2.045
Se 3.857 2.230 5.322
Se 5.135 0.000 2.062
Se 3.857 -2.230 5.322
```

Results
Raw total energy   -5.0234 eV per atom
ΔE_f (raw)   -1844 meV per atom
Space group   No. 12


The following is a GGA-PBE calculation of a relaxed structure of Ba4LiPr3Se8, from Alexandria.

Structure (extended XYZ):
```
16
Lattice="4.435 2.560 7.387 -4.435 2.560 7.387 0.000 -5.121 7.387" Properties=species:S:1:pos:R:3 pbc="T T T"
Ba 0.000 0.000 0.000
Ba -2.217 -1.280 7.387
Ba -2.217 1.280 14.773
Ba 0.000 2.560 7.387
Li 0.000 0.000 11.080
Pr -4.435 0.000 11.080
Pr -2.217 1.280 3.693
Pr 2.217 1.280 3.693
Se -2.219 -1.281 12.717
Se 0.000 0.000 5.354
Se 0.000 -2.562 9.443
Se -2.219 1.281 9.443
Se 2.219 -1.281 12.717
Se 0.000 2.562 12.717
Se 0.000 0.000 16.806
Se 2.219 1.281 9.443
```

Results
Raw total energy   -5.1058 eV per atom
ΔE_f (raw)   -1867 meV per atom
Space group   No. 166


The following is a GGA-PBE calculation of a relaxed structure of BaLiPr2Se4, from Alexandria.

Structure (extended XYZ):
```
16
Lattice="2.161 -7.178 0.000 2.161 7.178 0.000 0.000 0.000 14.781" Properties=species:S:1:pos:R:3 pbc="T T T"
Ba 2.161 5.527 11.086
Ba 2.161 -5.527 3.695
Li 2.161 4.956 3.695
Li 2.161 -4.956 11.086
Pr 2.161 1.849 8.218
Pr 2.161 1.849 13.953
Pr 2.161 -1.849 0.827
Pr 2.161 -1.849 6.563
Se 0.000 0.000 0.000
Se 0.000 0.000 7.390
Se 2.161 3.326 1.756
Se 2.161 3.326 5.635
Se 2.161 0.869 11.086
Se 2.161 -0.869 3.695
Se 2.161 -3.326 9.146
Se 2.161 -3.326 13.025
```

Results
Raw total energy   -5.2356 eV per atom
ΔE_f (raw)   -1819 meV per atom
Space group   No. 63


The following is a GGA-PBE calculation of a relaxed structure of BaLi2Pr2Si2, from Alexandria.

Structure (extended XYZ):
```
7
Lattice="2.375 1.371 9.681 -2.375 1.371 9.681 0.000 -2.743 9.681" Properties=species:S:1:pos:R:3 pbc="T T T"
Ba 0.000 0.000 0.000
Li 0.000 0.000 12.082
Li 0.000 0.000 16.961
Pr 0.000 0.000 3.786
Pr 0.000 0.000 25.257
Si 0.000 0.000 7.220
Si 0.000 0.000 21.823
```

Results
Raw total energy   -4.0890 eV per atom
ΔE_f (raw)   -352 meV per atom
Space group   No. 166


The following is a GGA-PBE calculation of a relaxed structure of BaLiPrSn, from Alexandria.

Structure (extended XYZ):
```
4
Lattice="0.000 4.036 4.036 4.036 0.000 4.036 4.036 4.036 0.000" Properties=species:S:1:pos:R:3 pbc="T T T"
Ba 0.000 0.000 0.000
Li 2.018 2.018 2.018
Pr 4.036 4.036 4.036
Sn 6.055 6.055 6.055
```

Results
Raw total energy   -3.4865 eV per atom
Energy of formation from the pure elements   -128 kJ/mol of formula units
Space group   No. 216


The following is a GGA-PBE calculation of a relaxed structure of BaLiPr2Te4, from Alexandria.

Structure (extended XYZ):
```
16
Lattice="2.303 -7.616 0.000 2.303 7.616 0.000 0.000 0.000 15.839" Properties=species:S:1:pos:R:3 pbc="T T T"
Ba 2.303 5.809 11.879
Ba 2.303 -5.809 3.960
Li 2.303 5.302 3.960
Li 2.303 -5.302 11.879
Pr 2.303 1.958 8.838
Pr 2.303 1.958 14.920
Pr 2.303 -1.958 0.918
Pr 2.303 -1.958 7.001
Te 0.000 0.000 0.000
Te 0.000 0.000 7.919
Te 2.303 3.509 1.872
Te 2.303 3.509 6.048
Te 2.303 0.842 11.879
Te 2.303 -0.842 3.960
Te 2.303 -3.509 9.791
Te 2.303 -3.509 13.967
```

Results
Raw total energy   -4.7067 eV per atom
ΔE_f (raw)   -1461 meV per atom
Space group   No. 63


The following is a GGA-PBE calculation of a relaxed structure of Ba4LiPr3Te8, from Alexandria.

Structure (extended XYZ):
```
16
Lattice="4.713 2.721 7.835 -4.713 2.721 7.835 0.000 -5.442 7.835" Properties=species:S:1:pos:R:3 pbc="T T T"
Ba 0.000 0.000 0.000
Ba -2.357 -1.361 7.835
Ba -2.357 1.361 15.670
Ba 0.000 2.721 7.835
Li 0.000 0.000 11.753
Pr -4.713 0.000 11.753
Pr -2.357 1.361 3.918
Pr 2.357 1.361 3.918
Te 0.000 0.000 5.693
Te -2.340 -1.351 13.493
Te 0.000 -2.702 10.013
Te -2.340 1.351 10.013
Te 2.340 -1.351 13.493
Te 0.000 2.702 13.493
Te 2.340 1.351 10.013
Te 0.000 0.000 17.813
```

Results
Raw total energy   -4.6211 eV per atom
ΔE_f (raw)   -1554 meV per atom
Space group   No. 166


The following is a GGA-PBE calculation of a relaxed structure of BaLi2PrTl4, from Alexandria.

Structure (extended XYZ):
```
8
Lattice="2.463 1.422 11.289 -2.463 1.422 11.289 0.000 -2.844 11.289" Properties=species:S:1:pos:R:3 pbc="T T T"
Ba 0.000 0.000 0.000
Li 0.000 0.000 7.952
Li 0.000 0.000 25.915
Pr 0.000 0.000 16.934
Tl 0.000 0.000 3.973
Tl 0.000 0.000 13.533
Tl 0.000 0.000 20.335
Tl 0.000 0.000 29.895
```

Results
Raw total energy   -2.8420 eV per atom
Energy of formation from the pure elements   -264 kJ/mol of formula units
Space group   No. 166


The following is a GGA-PBE calculation of a relaxed structure of BaLiPrTl, from Alexandria.

Structure (extended XYZ):
```
4
Lattice="0.000 4.082 4.082 4.082 0.000 4.082 4.082 4.082 0.000" Properties=species:S:1:pos:R:3 pbc="T T T"
Ba 0.000 0.000 0.000
Li 6.122 6.122 6.122
Pr 4.082 4.082 4.082
Tl 2.041 2.041 2.041
```

Results
Raw total energy   -2.8622 eV per atom
Energy of formation from the pure elements   -45 kJ/mol of formula units
Space group   No. 216


The following is a GGA-PBE calculation of a relaxed structure of BaLiPrZn, from Alexandria.

Structure (extended XYZ):
```
4
Lattice="0.000 3.972 3.972 3.972 0.000 3.972 3.972 3.972 0.000" Properties=species:S:1:pos:R:3 pbc="T T T"
Ba 0.000 0.000 0.000
Li 5.958 5.958 5.958
Pr 3.972 3.972 3.972
Zn 1.986 1.986 1.986
```

Results
Raw total energy   -2.4432 eV per atom
Energy of formation from the pure elements   11 kJ/mol of formula units
Space group   No. 216


The following is a GGA-PBE calculation of a relaxed structure of Ba3LiPt, from Alexandria.

Structure (extended XYZ):
```
10
Lattice="5.964 -8.489 0.000 5.964 8.489 0.000 0.000 0.000 4.621" Properties=species:S:1:pos:R:3 pbc="T T T"
Ba 3.630 2.212 2.311
Ba 5.964 5.326 0.000
Ba 3.630 -2.212 2.311
Ba 8.298 2.212 2.311
Ba 5.964 -5.326 0.000
Ba 8.298 -2.212 2.311
Li 0.000 0.000 2.310
Li 5.964 0.000 4.617
Pt 2.982 4.244 4.619
Pt 2.982 -4.244 4.619
```

Results
Raw total energy   -3.0933 eV per atom
Energy of formation from the pure elements   -168 kJ/mol of formula units
Space group   No. 35
E above lowest polymorph   6 meV per atom


The following is a GGA-PBE calculation of a relaxed structure of BaLi4Pt, from Alexandria.

Structure (extended XYZ):
```
6
Lattice="4.930 0.000 0.000 0.000 4.930 0.000 0.000 0.000 7.444" Properties=species:S:1:pos:R:3 pbc="T T T"
Ba 0.000 0.000 0.000
Li 0.000 2.465 3.722
Li 2.465 0.000 3.722
Li 2.465 2.465 1.383
Li 2.465 2.465 6.061
Pt 2.465 2.465 3.722
```

Results
Raw total energy   -2.6702 eV per atom
Energy of formation from the pure elements   -39 kJ/mol of formula units
Space group   No. 123
E above lowest polymorph   151 meV per atom


The following is a GGA-PBE calculation of a relaxed structure of BaLiPt, from Alexandria.

Structure (extended XYZ):
```
3
Lattice="0.000 3.612 3.612 3.612 0.000 3.612 3.612 3.612 0.000" Properties=species:S:1:pos:R:3 pbc="T T T"
Ba 0.000 0.000 0.000
Li 1.806 1.806 1.806
Pt 5.419 5.419 5.419
```

Results
Raw total energy   -3.2078 eV per atom
Energy of formation from the pure elements   25 kJ/mol of formula units
Space group   No. 216
E above lowest polymorph   662 meV per atom


The following is a GGA-PBE calculation of a relaxed structure of BaLi2Pt2, from Alexandria.

Structure (extended XYZ):
```
5
Lattice="-2.182 2.182 5.593 2.182 -2.182 5.593 2.182 2.182 -5.593" Properties=species:S:1:pos:R:3 pbc="T T T"
Ba 0.000 0.000 0.000
Li 2.182 0.000 2.796
Li 0.000 2.182 2.796
Pt 0.000 0.000 4.265
Pt 0.000 0.000 6.921
```

Results
Raw total energy   -4.1354 eV per atom
Energy of formation from the pure elements   -275 kJ/mol of formula units
Space group   No. 139
E above lowest polymorph   0 meV per atom


The following is a GGA-PBE calculation of a relaxed structure of Ba4Li3Pt2, from Alexandria.

Structure (extended XYZ):
```
9
Lattice="8.866 -2.313 0.000 8.866 2.313 0.000 -2.406 0.000 7.429" Properties=species:S:1:pos:R:3 pbc="T T T"
Ba 0.303 0.000 2.391
Ba 2.787 0.000 5.940
Ba 12.539 0.000 1.488
Ba 15.024 0.000 5.037
Li 6.527 0.000 1.672
Li 8.866 0.000 0.000
Li 8.799 0.000 5.757
Pt -0.285 0.000 7.121
Pt 15.612 0.000 0.308
```

Results
Raw total energy   -3.2038 eV per atom
Energy of formation from the pure elements   -320 kJ/mol of formula units
Space group   No. 12


The following is a GGA-PBE calculation of a relaxed structure of Ba3LiPt, from Alexandria.

Structure (extended XYZ):
```
20
Lattice="7.567 -4.376 0.000 7.567 4.376 0.000 -4.781 0.000 14.340" Properties=species:S:1:pos:R:3 pbc="T T T"
Ba -1.882 0.001 12.251
Ba 0.508 -0.001 5.081
Ba 1.893 2.190 13.105
Ba 6.070 2.190 8.405
Ba 2.277 0.003 9.256
Ba 4.667 -0.003 2.086
Ba 5.685 0.003 12.253
Ba 8.076 -0.003 5.083
Ba 4.283 -2.190 5.935
Ba 8.460 -2.190 1.235
Ba 9.844 0.001 9.259
Ba 12.235 -0.001 2.089
Li 3.863 2.185 5.362
Li 8.880 2.185 1.808
Li 1.473 -2.185 12.531
Li 6.490 -2.185 8.978
Pt 3.783 2.188 0.000
Pt 3.981 2.188 10.755
Pt 1.393 -2.188 7.170
Pt 6.372 -2.188 3.585
```

Results
Raw total energy   -3.0997 eV per atom
Energy of formation from the pure elements   -171 kJ/mol of formula units
Space group   No. 15
E above lowest polymorph   0 meV per atom


The following is a GGA-PBE calculation of a relaxed structure of BaLiPt3, from Alexandria.

Structure (extended XYZ):
```
5
Lattice="4.612 0.000 0.000 0.000 4.612 0.000 0.000 0.000 4.612" Properties=species:S:1:pos:R:3 pbc="T T T"
Ba 0.000 0.000 0.000
Li 2.306 2.306 2.306
Pt 0.000 2.306 2.306
Pt 2.306 0.000 2.306
Pt 2.306 2.306 0.000
```

Results
Raw total energy   -4.5284 eV per atom
Energy of formation from the pure elements   -66 kJ/mol of formula units
Space group   No. 221
E above lowest polymorph   0 meV per atom


The following is a GGA-PBE calculation of a relaxed structure of BaLiPt2, from Alexandria.

Structure (extended XYZ):
```
4
Lattice="1.558 0.899 10.169 -1.558 0.899 10.169 0.000 -1.799 10.169" Properties=species:S:1:pos:R:3 pbc="T T T"
Ba 0.000 0.000 0.000
Li 0.000 0.000 6.652
Pt 0.000 0.000 14.991
Pt 0.000 0.000 22.913
```

Results
Raw total energy   -3.6689 eV per atom
Energy of formation from the pure elements   120 kJ/mol of formula units
Space group   No. 160
E above lowest polymorph   895 meV per atom